Record 1
Ac5Ir2 | PBE | relaxed

Results
The calculation puts the formation energy at -491 meV per atom.

```
data_Ac5Ir2
_chemical_formula_sum 'Ac20 Ir8'
_space_group_name_H-M_alt 'C 1 2/c 1'
_space_group_IT_number 15
_cell_length_a 17.9895
_cell_length_b 6.9945
_cell_length_c 7.7469
_cell_angle_alpha 90.00
_cell_angle_beta 96.93
_cell_angle_gamma 90.00
loop_
_space_group_symop_operation_xyz
'x,y,z'
'-x,-y,-z'
'-x,y,-z+1/2'
'x,-y,z+1/2'
'x+1/2,y+1/2,z'
'-x+1/2,-y+1/2,-z'
'-x+1/2,y+1/2,-z+1/2'
'x+1/2,-y+1/2,z+1/2'
loop_
_atom_site_label
_atom_site_fract_x
_atom_site_fract_y
_atom_site_fract_z
Ac1 0.0000 0.0686 0.2500
Ac2 0.0954 0.4100 0.9138
Ac3 0.2127 0.0729 0.3174
Ir1 0.1117 0.2000 0.5830
```

***

Record 2
Ac5LaIr4 | PBE | relaxed

Results
The calculation puts the formation energy at -596 meV per atom.

```
data_Ac5LaIr4
_chemical_formula_sum 'Ac10 La2 Ir8'
_space_group_name_H-M_alt 'C 1 2/m 1'
_space_group_IT_number 12
_cell_length_a 18.6361
_cell_length_b 4.3632
_cell_length_c 8.4687
_cell_angle_alpha 90.00
_cell_angle_beta 105.03
_cell_angle_gamma 90.00
loop_
_space_group_symop_operation_xyz
'x,y,z'
'-x,-y,-z'
'-x,y,-z'
'x,-y,z'
'x+1/2,y+1/2,z'
'-x+1/2,-y+1/2,-z'
'-x+1/2,y+1/2,-z'
'x+1/2,-y+1/2,z'
loop_
_atom_site_label
_atom_site_fract_x
_atom_site_fract_y
_atom_site_fract_z
Ac1 0.0000 0.0000 0.0000
Ac2 0.1614 0.5000 0.8276
Ac3 0.1658 0.5000 0.3562
La1 0.0000 0.0000 0.5000
Ir1 0.0009 0.5000 0.2459
Ir2 0.1711 0.0000 0.6055
```

***

Record 3
Li6AcIr2 | PBE | relaxed

```
data_Li6AcIr2
_chemical_formula_sum 'Li6 Ac1 Ir2'
_space_group_name_H-M_alt 'P -6 2 m'
_space_group_IT_number 189
_space_group_name_Hall 'P -6 -2'
_cell_length_a 7.8790
_cell_length_b 7.8790
_cell_length_c 2.8443
_cell_angle_alpha 90.00
_cell_angle_beta 90.00
_cell_angle_gamma 120.00
loop_
_atom_site_label
_atom_site_fract_x
_atom_site_fract_y
_atom_site_fract_z
Li1 0.0000 0.3580 0.0000
Li2 0.0000 0.6097 0.5000
Ac1 0.0000 0.0000 0.5000
Ir1 0.3333 0.6667 0.0000
```

***

Record 4
AcMgIr | PBE | relaxed

Results
As for the energy above the lowest structure with this stoichiometry: 0 meV per atom.

```
data_AcMgIr
_chemical_formula_sum 'Ac4 Mg4 Ir4'
_space_group_name_H-M_alt 'P n m a'
_space_group_IT_number 62
_cell_length_a 7.5017
_cell_length_b 4.3031
_cell_length_c 8.9590
_cell_angle_alpha 90.00
_cell_angle_beta 90.00
_cell_angle_gamma 90.00
loop_
_space_group_symop_operation_xyz
'x,y,z'
'-x,-y,-z'
'-x+1/2,-y,z+1/2'
'x+1/2,y,-z+1/2'
'x+1/2,-y+1/2,-z+1/2'
'-x+1/2,y+1/2,z+1/2'
'-x,y+1/2,-z'
'x,-y+1/2,z'
loop_
_atom_site_label
_atom_site_fract_x
_atom_site_fract_y
_atom_site_fract_z
Ac1 0.0374 0.2500 0.1799
Mg1 0.1299 0.2500 0.5546
Ir1 0.2393 0.7500 0.3757
```

***

| no. | DFT total energy (eV for the cell shown) | total magnetization (Bohr magnetons per cell) |
| --- | --- | --- |
| 1 | -166.70 | 0.02 |
| 2 | -133.66 | 0.01 |
| 3 | -30.42 | 0.74 |
| 4 | -64.87 | 0.01 |